Entry 1:
Below is an optimized crystal structure of NbAgSe3, with properties calculated at the PBE-GGA level. Values from VASP.

Raw formation energy   -0.03 eV per atom
SG   Pm-3m, No. 221

The structure in Quantum ESPRESSO input format:
```
&SYSTEM
  ibrav = 0, nat = 5, ntyp = 3
/
ATOMIC_SPECIES
Nb 92.91 Nb.upf
Ag 107.87 Ag.upf
Se 78.96 Se.upf
CELL_PARAMETERS angstrom
5.067 0.000 0.000
0.000 5.067 0.000
0.000 0.000 5.067
ATOMIC_POSITIONS angstrom
Nb 0.000 0.000 0.000
Ag 2.533 2.533 2.533
Se 0.000 0.000 2.533
Se 0.000 2.533 0.000
Se 2.533 0.000 0.000
```

Entry 2:
Below is an optimized crystal structure of CsInAsPb, with properties calculated at the PBE-GGA level. Values from VASP.

Energy of formation from the pure elements   -0.73 eV per formula unit
SG   P4/nmm, No. 129

The structure in Quantum ESPRESSO input format:
```
&SYSTEM
  ibrav = 0, nat = 8, ntyp = 4
/
ATOMIC_SPECIES
Cs 132.91 Cs.upf
In 114.82 In.upf
As 74.92 As.upf
Pb 207.20 Pb.upf
CELL_PARAMETERS angstrom
4.723 0.000 0.000
0.000 4.723 0.000
0.000 0.000 14.183
ATOMIC_POSITIONS angstrom
Cs 1.181 1.181 3.535
Cs 3.542 3.542 10.648
In 1.181 3.542 7.092
In 3.542 1.181 7.092
As 1.181 1.181 8.618
As 3.542 3.542 5.565
Pb 1.181 3.542 0.000
Pb 3.542 1.181 0.000
```

Entry 3:
Below is an optimized crystal structure of Dy2Si3Pt2, with properties calculated at the PBE-GGA level. Values from VASP.

Raw formation energy   -1.02 eV per atom
SG   Cmcm, No. 63

The structure in Quantum ESPRESSO input format:
```
&SYSTEM
  ibrav = 0, nat = 14, ntyp = 3
/
ATOMIC_SPECIES
Dy 162.50 Dy.upf
Si 28.09 Si.upf
Pt 195.08 Pt.upf
CELL_PARAMETERS angstrom
2.078 -8.822 0.000
2.078 8.822 0.000
0.000 0.000 6.915
ATOMIC_POSITIONS angstrom
Dy 2.078 7.846 5.186
Dy 2.078 6.125 1.729
Dy 2.078 -6.125 5.186
Dy 2.078 -7.846 1.729
Si 2.078 4.834 5.186
Si 2.078 1.055 3.957
Si 2.078 1.055 6.416
Si 2.078 -1.055 0.499
Si 2.078 -1.055 2.958
Si 2.078 -4.834 1.729
Pt 2.078 3.366 0.321
Pt 2.078 3.366 3.136
Pt 2.078 -3.366 3.779
Pt 2.078 -3.366 6.594
```

Entry 4:
Below is an optimized crystal structure of ZrAlNi2I, with properties calculated at the PBE-GGA level. Values from VASP.

Raw formation energy   1.06 eV per atom
SG   P4/mmm, No. 123

The structure in Quantum ESPRESSO input format:
```
&SYSTEM
  ibrav = 0, nat = 5, ntyp = 4
/
ATOMIC_SPECIES
Zr 91.22 Zr.upf
Al 26.98 Al.upf
Ni 58.69 Ni.upf
I 126.90 I.upf
CELL_PARAMETERS angstrom
4.736 0.000 0.000
0.000 4.736 0.000
0.000 0.000 5.630
ATOMIC_POSITIONS angstrom
Zr 0.000 0.000 0.000
Al 0.000 0.000 2.815
Ni 0.000 2.368 0.000
Ni 2.368 0.000 0.000
I 2.368 2.368 2.815
```

Entry 5:
Below is an optimized crystal structure of Er4N3, with properties calculated at the PBE-GGA level. Values from VASP.

Raw formation energy   -1.45 eV per atom
SG   Pm-3m, No. 221

The structure in Quantum ESPRESSO input format:
```
&SYSTEM
  ibrav = 0, nat = 7, ntyp = 2
/
ATOMIC_SPECIES
Er 167.26 Er.upf
N 14.01 N.upf
CELL_PARAMETERS angstrom
4.847 0.000 0.000
0.000 4.847 0.000
0.000 0.000 4.847
ATOMIC_POSITIONS angstrom
Er 0.000 0.000 0.000
Er 0.000 2.424 2.424
Er 2.424 0.000 2.424
Er 2.424 2.424 0.000
N 0.000 0.000 2.424
N 0.000 2.424 0.000
N 2.424 0.000 0.000
```

Entry 6:
Below is an optimized crystal structure of Tb5Ho3Er3, with properties calculated at the PBE-GGA level. Values from VASP.

Energy of formation from the pure elements   9.15 eV per formula unit
SG   P-62m, No. 189

The structure in Quantum ESPRESSO input format:
```
&SYSTEM
  ibrav = 0, nat = 11, ntyp = 3
/
ATOMIC_SPECIES
Tb 158.93 Tb.upf
Ho 164.93 Ho.upf
Er 167.26 Er.upf
CELL_PARAMETERS angstrom
9.616 0.000 0.000
-4.808 8.328 0.000
0.000 0.000 5.379
ATOMIC_POSITIONS angstrom
Tb -3.576 6.194 0.000
Tb 1.232 2.134 0.000
Tb 0.000 5.552 0.000
Tb 4.808 2.776 0.000
Tb 7.153 0.000 0.000
Ho -1.794 3.108 0.000
Ho 3.589 0.000 0.000
Ho 3.014 5.220 0.000
Er -2.674 4.632 2.689
Er 2.134 3.696 2.689
Er 5.349 0.000 2.689
```

Entry 7:
Below is an optimized crystal structure of Pm2DyInN4, with properties calculated at the PBE-GGA level. Values from VASP.

Raw formation energy   -1.04 eV per atom
SG   P2/m, No. 10

The structure in Quantum ESPRESSO input format:
```
&SYSTEM
  ibrav = 0, nat = 8, ntyp = 4
/
ATOMIC_SPECIES
Pm 145.00 Pm.upf
Dy 162.50 Dy.upf
In 114.82 In.upf
N 14.01 N.upf
CELL_PARAMETERS angstrom
6.095 0.000 0.000
0.000 3.524 0.000
-2.185 0.000 5.734
ATOMIC_POSITIONS angstrom
Pm 0.000 0.000 0.000
Pm -1.092 1.762 2.867
Dy 1.955 0.000 2.867
In 3.048 1.762 0.000
N 0.952 1.762 1.501
N -0.063 0.000 4.318
N 3.973 0.000 1.416
N 2.958 1.762 4.233
```

Entry 8:
Below is an optimized crystal structure of Be2FeRhS, with properties calculated at the PBE-GGA level. Values from VASP.

Raw formation energy   0.89 eV per atom
SG   P4/mmm, No. 123

The structure in Quantum ESPRESSO input format:
```
&SYSTEM
  ibrav = 0, nat = 5, ntyp = 4
/
ATOMIC_SPECIES
Be 9.01 Be.upf
Fe 55.84 Fe.upf
Rh 102.91 Rh.upf
S 32.06 S.upf
CELL_PARAMETERS angstrom
4.019 0.000 0.000
0.000 4.019 0.000
0.000 0.000 4.362
ATOMIC_POSITIONS angstrom
Be 0.000 2.009 0.000
Be 2.009 0.000 0.000
Fe 0.000 0.000 0.000
Rh 0.000 0.000 2.181
S 2.009 2.009 2.181
```

Entry 9:
Below is an optimized crystal structure of Pm5NdSm2Er, with properties calculated at the PBE-GGA level. Values from VASP.

Energy of formation from the pure elements   2.53 eV per formula unit
SG   I4/mcm, No. 140

The structure in Quantum ESPRESSO input format:
```
&SYSTEM
  ibrav = 0, nat = 18, ntyp = 4
/
ATOMIC_SPECIES
Pm 145.00 Pm.upf
Nd 144.24 Nd.upf
Sm 150.36 Sm.upf
Er 167.26 Er.upf
CELL_PARAMETERS angstrom
-4.446 4.446 7.828
4.446 -4.446 7.828
4.446 4.446 -7.828
ATOMIC_POSITIONS angstrom
Pm 0.000 0.000 0.000
Pm 6.300 1.855 -2.157
Pm 1.855 2.591 -2.157
Pm 6.300 1.855 2.157
Pm 1.855 2.591 2.157
Pm 0.000 0.000 7.828
Pm 2.591 1.855 5.671
Pm -1.855 2.591 5.671
Pm 2.591 1.855 9.985
Pm -1.855 2.591 9.985
Nd 0.000 0.000 3.914
Nd 0.000 0.000 11.742
Sm 3.412 1.033 0.000
Sm 3.412 -1.033 7.828
Sm 1.033 5.479 0.000
Sm 1.033 3.412 7.828
Er 4.446 0.000 3.914
Er 0.000 4.446 3.914
```

Entry 10:
Below is an optimized crystal structure of BaInAs2, with properties calculated at the PBE-GGA level. Values from VASP.

Energy of formation from the pure elements   -1.10 eV per formula unit
SG   Cmmm, No. 65

The structure in Quantum ESPRESSO input format:
```
&SYSTEM
  ibrav = 0, nat = 4, ntyp = 3
/
ATOMIC_SPECIES
Ba 137.33 Ba.upf
In 114.82 In.upf
As 74.92 As.upf
CELL_PARAMETERS angstrom
3.537 -4.341 0.000
3.537 4.341 0.000
0.000 0.000 3.619
ATOMIC_POSITIONS angstrom
Ba 0.000 0.000 0.000
In 3.537 0.000 0.000
As 1.769 2.170 1.809
As 1.769 -2.170 1.809
```

Entry 11:
Below is an optimized crystal structure of Be2NiAgRh, with properties calculated at the PBE-GGA level. Values from VASP.

Energy of formation from the pure elements   4.23 eV per formula unit
SG   P4/mmm, No. 123

The structure in Quantum ESPRESSO input format:
```
&SYSTEM
  ibrav = 0, nat = 5, ntyp = 4
/
ATOMIC_SPECIES
Be 9.01 Be.upf
Ni 58.69 Ni.upf
Ag 107.87 Ag.upf
Rh 102.91 Rh.upf
CELL_PARAMETERS angstrom
4.046 0.000 0.000
0.000 4.046 0.000
0.000 0.000 5.021
ATOMIC_POSITIONS angstrom
Be 0.000 2.023 0.000
Be 2.023 0.000 0.000
Ni 0.000 0.000 2.510
Ag 2.023 2.023 2.510
Rh 2.023 2.023 0.000
```

Entry 12:
Below is an optimized crystal structure of LaZr2Zn, with properties calculated at the PBE-GGA level. Values from VASP.

Energy of formation from the pure elements   0.57 eV per formula unit
SG   C2/m, No. 12

The structure in Quantum ESPRESSO input format:
```
&SYSTEM
  ibrav = 0, nat = 4, ntyp = 3
/
ATOMIC_SPECIES
La 138.91 La.upf
Zr 91.22 Zr.upf
Zn 65.41 Zn.upf
CELL_PARAMETERS angstrom
3.124 -5.381 0.000
3.124 5.381 0.000
-1.652 0.000 2.857
ATOMIC_POSITIONS angstrom
La 0.000 0.000 0.000
Zr 0.736 2.691 1.428
Zr 0.736 -2.691 1.428
Zn 3.124 0.000 0.000
```

Entry 13:
Below is an optimized crystal structure of YBeAu3, with properties calculated at the PBE-GGA level. Values from VASP.

Energy of formation from the pure elements   -2.83 eV per formula unit
SG   P2_1/m, No. 11

The structure in Quantum ESPRESSO input format:
```
&SYSTEM
  ibrav = 0, nat = 10, ntyp = 3
/
ATOMIC_SPECIES
Y 88.91 Y.upf
Be 9.01 Be.upf
Au 196.97 Au.upf
CELL_PARAMETERS angstrom
5.402 0.000 0.000
0.000 5.867 0.000
-0.589 0.000 5.818
ATOMIC_POSITIONS angstrom
Y 0.880 1.467 1.001
Y 3.934 4.400 4.817
Be 0.142 4.400 2.154
Be 4.671 1.467 3.665
Au 1.136 2.937 3.766
Au 1.136 5.864 3.766
Au 1.716 4.400 0.490
Au 3.098 1.467 5.328
Au 3.677 0.003 2.052
Au 3.677 2.930 2.052
```

Entry 14:
Below is an optimized crystal structure of PmTmZnSi, with properties calculated at the PBE-GGA level. Values from VASP.

Raw formation energy   -0.44 eV per atom
SG   F-43m, No. 216

The structure in Quantum ESPRESSO input format:
```
&SYSTEM
  ibrav = 0, nat = 4, ntyp = 4
/
ATOMIC_SPECIES
Pm 145.00 Pm.upf
Tm 168.93 Tm.upf
Zn 65.41 Zn.upf
Si 28.09 Si.upf
CELL_PARAMETERS angstrom
0.000 3.543 3.543
3.543 0.000 3.543
3.543 3.543 0.000
ATOMIC_POSITIONS angstrom
Pm 0.000 0.000 0.000
Tm 3.543 3.543 3.543
Zn 1.771 1.771 1.771
Si 5.314 5.314 5.314
```

Entry 15:
Below is an optimized crystal structure of TbMnPd6, with properties calculated at the PBE-GGA level. Values from VASP.

Energy of formation from the pure elements   -4.15 eV per formula unit
SG   P4/mmm, No. 123

The structure in Quantum ESPRESSO input format:
```
&SYSTEM
  ibrav = 0, nat = 8, ntyp = 3
/
ATOMIC_SPECIES
Tb 158.93 Tb.upf
Mn 54.94 Mn.upf
Pd 106.42 Pd.upf
CELL_PARAMETERS angstrom
4.047 0.000 0.000
0.000 4.047 0.000
0.000 0.000 8.009
ATOMIC_POSITIONS angstrom
Tb 0.000 0.000 0.000
Mn 0.000 0.000 4.004
Pd 0.000 2.023 2.116
Pd 0.000 2.023 5.892
Pd 2.023 0.000 2.116
Pd 2.023 0.000 5.892
Pd 2.023 2.023 0.000
Pd 2.023 2.023 4.004
```

Entry 16:
Below is an optimized crystal structure of CaSbPt2, with properties calculated at the PBE-GGA level. Values from VASP.

Raw formation energy   -0.44 eV per atom
SG   I-42d, No. 122

The structure in Quantum ESPRESSO input format:
```
&SYSTEM
  ibrav = 0, nat = 8, ntyp = 3
/
ATOMIC_SPECIES
Ca 40.08 Ca.upf
Sb 121.76 Sb.upf
Pt 195.08 Pt.upf
CELL_PARAMETERS angstrom
-2.507 2.507 8.896
2.507 -2.507 8.896
2.507 2.507 -8.896
ATOMIC_POSITIONS angstrom
Ca 0.000 0.000 0.000
Ca 0.000 2.507 4.448
Sb 2.507 0.000 4.448
Sb 0.000 0.000 8.896
Pt 1.253 -0.349 6.672
Pt 2.158 1.253 2.224
Pt 1.253 2.855 -2.224
Pt 0.349 1.253 11.120
```

Entry 17:
Below is an optimized crystal structure of ScGaPd2, with properties calculated at the PBE-GGA level. Values from VASP.

Energy of formation from the pure elements   -3.13 eV per formula unit
SG   P4/mmm, No. 123

The structure in Quantum ESPRESSO input format:
```
&SYSTEM
  ibrav = 0, nat = 4, ntyp = 3
/
ATOMIC_SPECIES
Sc 44.96 Sc.upf
Ga 69.72 Ga.upf
Pd 106.42 Pd.upf
CELL_PARAMETERS angstrom
3.297 0.000 0.000
0.000 3.297 0.000
0.000 0.000 6.083
ATOMIC_POSITIONS angstrom
Sc 0.000 0.000 0.000
Ga 0.000 0.000 3.041
Pd 1.648 1.648 1.603
Pd 1.648 1.648 4.480
```

Entry 18:
Below is an optimized crystal structure of Tb3Pm6Ho2Tl, with properties calculated at the PBE-GGA level. Values from VASP.

Energy of formation from the pure elements   -0.13 eV per formula unit
SG   C2/m, No. 12

The structure in Quantum ESPRESSO input format:
```
&SYSTEM
  ibrav = 0, nat = 12, ntyp = 4
/
ATOMIC_SPECIES
Tb 158.93 Tb.upf
Pm 145.00 Pm.upf
Ho 164.93 Ho.upf
Tl 204.38 Tl.upf
CELL_PARAMETERS angstrom
3.096 -5.379 0.000
3.096 5.379 0.000
-2.099 0.000 11.589
ATOMIC_POSITIONS angstrom
Tb 0.000 0.000 0.000
Tb 3.096 1.805 0.000
Tb 3.096 -1.805 0.000
Pm 1.042 1.766 2.933
Pm 0.001 0.000 8.680
Pm 1.042 -1.766 2.933
Pm 3.050 1.766 8.657
Pm 4.092 0.000 2.910
Pm 3.050 -1.766 8.657
Ho 2.046 3.594 5.795
Ho 2.046 -3.594 5.795
Tl 2.046 0.000 5.795
```

Entry 19:
Below is an optimized crystal structure of Tb6PmPr4, with properties calculated at the PBE-GGA level. Values from VASP.

Energy of formation from the pure elements   4.74 eV per formula unit
SG   I-42m, No. 121

The structure in Quantum ESPRESSO input format:
```
&SYSTEM
  ibrav = 0, nat = 11, ntyp = 3
/
ATOMIC_SPECIES
Tb 158.93 Tb.upf
Pm 145.00 Pm.upf
Pr 140.91 Pr.upf
CELL_PARAMETERS angstrom
-3.889 3.889 6.595
3.889 -3.889 6.595
3.889 3.889 -6.595
ATOMIC_POSITIONS angstrom
Tb 3.889 0.000 0.000
Tb 1.997 -1.997 4.154
Tb 1.892 1.892 2.441
Tb 0.000 3.889 0.000
Tb -1.997 1.997 4.154
Tb 1.997 1.997 9.037
Pm 0.000 0.000 0.000
Pr 2.525 2.525 -1.009
Pr 1.364 -1.364 7.605
Pr 1.364 1.364 5.586
Pr -1.364 1.364 7.605
```

Entry 20:
Below is an optimized crystal structure of LaZr3Sn, with properties calculated at the PBE-GGA level. Values from VASP.

Energy of formation from the pure elements   2.96 eV per formula unit
SG   Pm-3m, No. 221

The structure in Quantum ESPRESSO input format:
```
&SYSTEM
  ibrav = 0, nat = 5, ntyp = 3
/
ATOMIC_SPECIES
La 138.91 La.upf
Zr 91.22 Zr.upf
Sn 118.71 Sn.upf
CELL_PARAMETERS angstrom
5.422 0.000 0.000
0.000 5.422 0.000
0.000 0.000 5.422
ATOMIC_POSITIONS angstrom
La 0.000 0.000 0.000
Zr 0.000 2.711 2.711
Zr 2.711 0.000 2.711
Zr 2.711 2.711 0.000
Sn 2.711 2.711 2.711
```

Entry 21:
Below is an optimized crystal structure of HoMg3Pd3, with properties calculated at the PBE-GGA level. Values from VASP.

Energy of formation from the pure elements   -4.45 eV per formula unit
SG   R3m, No. 160

The structure in Quantum ESPRESSO input format:
```
&SYSTEM
  ibrav = 0, nat = 7, ntyp = 3
/
ATOMIC_SPECIES
Ho 164.93 Ho.upf
Mg 24.30 Mg.upf
Pd 106.42 Pd.upf
CELL_PARAMETERS angstrom
4.620 2.667 1.845
-4.620 2.667 1.845
0.000 -5.335 1.845
ATOMIC_POSITIONS angstrom
Ho 0.000 0.000 0.000
Mg 0.000 -2.311 3.056
Mg -2.001 1.155 3.056
Mg 2.001 1.155 3.056
Pd -2.258 -1.304 4.100
Pd 2.258 -1.304 4.100
Pd 0.000 2.608 4.100
```

Entry 22:
Below is an optimized crystal structure of BeRe2Ni, with properties calculated at the PBE-GGA level. Values from VASP.

Energy of formation from the pure elements   0.37 eV per formula unit
SG   F-43m, No. 216

The structure in Quantum ESPRESSO input format:
```
&SYSTEM
  ibrav = 0, nat = 4, ntyp = 3
/
ATOMIC_SPECIES
Be 9.01 Be.upf
Re 186.21 Re.upf
Ni 58.69 Ni.upf
CELL_PARAMETERS angstrom
0.000 2.951 2.951
2.951 0.000 2.951
2.951 2.951 0.000
ATOMIC_POSITIONS angstrom
Be 0.000 0.000 0.000
Re 2.951 2.951 2.951
Re 4.426 4.426 4.426
Ni 1.475 1.475 1.475
```

Entry 23:
Below is an optimized crystal structure of Tb3SiTe6, with properties calculated at the PBE-GGA level. Values from VASP.

Raw formation energy   -0.98 eV per atom
SG   Cmc2_1, No. 36

The structure in Quantum ESPRESSO input format:
```
&SYSTEM
  ibrav = 0, nat = 20, ntyp = 3
/
ATOMIC_SPECIES
Tb 158.93 Tb.upf
Si 28.09 Si.upf
Te 127.60 Te.upf
CELL_PARAMETERS angstrom
6.042 -7.471 0.000
6.042 7.471 0.000
0.000 0.000 7.281
ATOMIC_POSITIONS angstrom
Tb 6.042 6.070 3.641
Tb 3.858 1.439 2.837
Tb 3.858 -1.439 6.478
Tb 8.226 1.439 2.837
Tb 8.226 -1.439 6.478
Tb 6.042 -6.070 0.000
Si 6.042 3.036 6.181
Si 6.042 -3.036 2.540
Te 3.988 4.001 4.862
Te 1.973 0.577 5.071
Te 1.973 -0.577 1.431
Te 6.042 3.293 1.576
Te 8.096 4.001 4.862
Te 6.042 0.581 5.121
Te 6.042 -0.581 1.480
Te 3.988 -4.001 1.221
Te 6.042 -3.293 5.216
Te 10.111 0.577 5.071
Te 10.111 -0.577 1.431
Te 8.096 -4.001 1.221
```